Record 1
RbCd2BiI GGA-PBE relaxed; space group = P4/mmm; calculated total energy = -1.91 eV/atom; raw formation energy = -6.0 kcal/mol of atoms; volume = 49.7 Å³/atom; total magnetization = 0.00 μB per cell
1.0
-4.165 2.097 3.342
0.756 -5.908 4.649
3.904 2.897 3.047
Cd Rb Bi I
2 1 1 1
Cartesian
1.952 1.449 1.523
-2.082 1.048 1.671
0.378 -2.954 2.324
0.000 0.000 0.000
0.247 -0.457 5.519


Record 2
Cd2BiRuI GGA-PBE relaxed; space group = P4/mmm; calculated total energy = -1.73 eV/atom; raw formation energy = 36.5 kcal/mol of atoms; volume = 38.2 Å³/atom; total magnetization = 2.62 μB per cell
1.0
5.614 0.000 0.000
0.000 6.060 0.000
0.000 0.000 5.614
I Ru Bi Cd
1 1 1 2
Cartesian
0.000 0.000 0.000
2.807 3.030 2.807
0.000 3.030 0.000
0.000 0.000 2.807
2.807 0.000 0.000


Record 3
Sr2CdBiI GGA-PBE relaxed; space group = P4/mmm; calculated total energy = -2.40 eV/atom; raw formation energy = -10.6 kcal/mol of atoms; volume = 48.8 Å³/atom; total magnetization = 0.00 μB per cell
1.0
6.462 0.000 0.000
0.000 5.847 0.000
0.000 0.000 6.462
I Sr Cd Bi
1 2 1 1
Cartesian
3.231 2.923 3.231
3.231 0.000 0.000
0.000 0.000 3.231
0.000 2.923 0.000
0.000 0.000 0.000


Record 4
CdBiTe2I GGA-PBE relaxed; space group = P4/mmm; calculated total energy = -2.18 eV/atom; raw formation energy = 8.0 kcal/mol of atoms; volume = 35.9 Å³/atom; total magnetization = 0.00 μB per cell
1.0
-2.850 2.225 -4.332
-3.281 -4.587 -0.198
-3.599 2.419 3.610
Cd Te Bi I
1 2 1 1
Cartesian
0.000 0.000 0.000
-1.425 1.113 -2.166
-1.641 -2.293 -0.099
-4.865 0.029 -0.460
-1.799 1.209 1.805


Record 5
CdBiTe2I GGA-PBE relaxed; space group = P4/mmm; calculated total energy = -2.20 eV/atom; raw formation energy = 7.4 kcal/mol of atoms; volume = 43.7 Å³/atom; total magnetization = 0.00 μB per cell
1.0
-5.349 0.987 -2.534
2.226 -1.625 -5.331
-1.580 -5.752 1.093
Te Bi I Cd
2 1 1 1
Cartesian
-2.675 0.494 -1.267
1.113 -0.812 -2.665
0.000 0.000 0.000
-0.790 -2.876 0.547
-2.352 -3.195 -3.386


Record 6
CdBi2WI GGA-PBE relaxed; space group = P4/mmm; calculated total energy = -4.10 eV/atom; raw formation energy = 12.3 kcal/mol of atoms; volume = 32.2 Å³/atom; total magnetization = 0.00 μB per cell
1.0
5.386 0.000 0.000
0.000 5.557 0.000
0.000 0.000 5.386
Bi I Cd W
2 1 1 1
Cartesian
0.000 0.000 2.693
2.693 0.000 0.000
2.693 2.778 2.693
0.000 2.778 0.000
0.000 0.000 0.000


Record 7
ZnCdBiI2 GGA-PBE relaxed; space group = P4/mmm; calculated total energy = -1.74 eV/atom; raw formation energy = 2.3 kcal/mol of atoms; volume = 46.7 Å³/atom; total magnetization = 0.00 μB per cell
1.0
6.204 0.000 0.000
0.000 6.064 0.000
0.000 0.000 6.204
I Bi Cd Zn
2 1 1 1
Cartesian
0.000 0.000 3.102
3.102 0.000 0.000
0.000 0.000 0.000
0.000 3.032 0.000
3.102 3.032 3.102


Record 8
CdInBi GGA-PBE relaxed; space group = F-43m; energy of formation from the pure elements = 0.1 eV per formula unit; calculated total energy = -2.47 eV/atom; volume = 31.0 Å³/atom; total magnetization = 0.00 μB per cell
1.0
5.085 0.000 0.000
2.543 4.404 0.000
2.543 1.468 4.152
Bi Cd In
1 1 1
Cartesian
5.085 2.936 2.076
2.543 1.468 1.038
0.000 0.000 0.000


Record 9
CdInBi GGA-PBE relaxed; space group = Pmn2_1; energy of formation from the pure elements = 0.1 eV per formula unit; calculated total energy = -2.49 eV/atom; volume = 30.2 Å³/atom; total magnetization = 0.00 μB per cell
1.0
-3.613 -0.599 3.556
-1.521 -8.040 -2.900
5.597 -2.932 5.193
Bi Cd In
4 4 4
Cartesian
-0.813 -1.570 2.574
0.227 -5.294 -0.661
1.480 -5.683 4.210
2.529 -9.412 0.985
-0.705 -4.592 2.174
2.622 -3.323 5.768
3.658 -7.037 2.531
0.351 -8.317 -1.044
-0.220 -7.795 2.128
2.339 -3.478 1.791
2.585 -9.185 4.744
5.158 -4.875 4.420


Record 10
CdInBi GGA-PBE relaxed; space group = I4mm; energy of formation from the pure elements = 0.2 eV per formula unit; calculated total energy = -2.43 eV/atom; volume = 29.8 Å³/atom; total magnetization = 0.00 μB per cell
1.0
-3.251 -0.382 -0.435
0.546 -1.198 -3.029
1.832 -6.800 4.820
In Cd Bi
1 1 1
Cartesian
0.132 -2.089 0.850
-1.099 -4.799 -0.101
-0.923 -7.595 1.037


Record 11
Cd2In9Bi GGA-PBE relaxed; space group = P4/mmm; energy of formation from the pure elements = 0.4 eV per formula unit; calculated total energy = -2.49 eV/atom; volume = 27.2 Å³/atom; total magnetization = 0.00 μB per cell
1.0
4.580 0.000 0.000
0.000 4.580 0.000
0.000 0.000 15.536
In Cd Bi
9 2 1
Cartesian
0.000 2.290 2.726
0.000 2.290 7.768
2.290 0.000 12.810
2.290 2.290 10.281
2.290 2.290 5.255
2.290 2.290 0.000
2.290 0.000 2.726
0.000 2.290 12.810
2.290 0.000 7.768
0.000 0.000 5.289
0.000 0.000 10.247
0.000 0.000 0.000


Record 12
Cd2In5Bi2 GGA-PBE relaxed; space group = C2/m; energy of formation from the pure elements = 0.5 eV per formula unit; calculated total energy = -2.53 eV/atom; volume = 29.4 Å³/atom; total magnetization = 0.00 μB per cell
1.0
-2.256 -0.696 -4.221
3.202 -3.795 -3.856
-2.276 -10.449 0.168
In Cd Bi
5 2 2
Cartesian
0.000 0.000 0.000
1.810 -6.403 -5.453
-3.139 -8.537 -2.457
0.748 -5.534 -2.258
-2.077 -9.406 -5.651
1.336 -10.007 -4.605
-2.665 -4.932 -3.304
-0.186 -3.663 -4.838
-1.142 -11.277 -3.072


Record 13
CdIn7Bi4 GGA-PBE relaxed; space group = P-1; energy of formation from the pure elements = 0.5 eV per formula unit; calculated total energy = -2.92 eV/atom; volume = 29.2 Å³/atom; total magnetization = 0.00 μB per cell
1.0
-1.736 -2.223 3.625
4.779 -3.164 -2.525
11.926 2.319 7.211
Cd Bi In
1 4 7
Cartesian
5.963 1.159 3.606
1.443 -2.342 2.168
10.225 -1.184 4.212
4.745 -1.884 4.099
13.526 -0.727 6.143
7.667 -2.045 2.482
7.302 -1.023 5.829
0.000 0.000 0.000
3.179 0.486 1.846
4.619 -2.523 0.738
10.350 -0.546 7.573
11.790 -3.554 6.465


Record 14
CdIn15Bi4 GGA-PBE relaxed; space group = P4/mmm; energy of formation from the pure elements = 0.5 eV per formula unit; calculated total energy = -2.85 eV/atom; volume = 28.6 Å³/atom; total magnetization = 0.00 μB per cell
1.0
-0.891 4.517 1.145
-4.639 -0.972 0.226
2.408 -5.762 24.613
In Bi Cd
15 4 1
Cartesian
0.270 0.547 7.885
1.247 -1.791 17.872
-1.115 -3.367 12.419
-0.140 -5.699 22.382
1.734 -2.955 22.842
-2.287 0.630 5.566
-0.834 -2.847 20.418
-2.765 1.773 0.686
-1.315 -1.695 15.497
-1.806 -0.522 10.487
-0.627 -4.536 17.413
-1.604 -2.198 7.426
0.759 -0.622 12.879
-2.090 -1.035 2.456
-0.216 1.710 2.916
1.945 -4.653 19.877
0.463 -1.109 4.736
0.958 -2.293 9.795
1.450 -3.469 14.817
0.000 0.000 0.000


Record 15
Cd3In3Bi2 GGA-PBE relaxed; space group = Cmcm; energy of formation from the pure elements = 0.4 eV per formula unit; calculated total energy = -2.29 eV/atom; volume = 28.3 Å³/atom; total magnetization = 0.00 μB per cell
1.0
5.117 0.000 0.000
-2.558 6.636 0.000
0.000 0.000 13.320
Cd Bi In
6 4 6
Cartesian
2.558 0.977 5.541
2.558 1.217 9.990
0.000 5.659 7.780
0.000 5.659 12.201
2.558 0.977 1.120
0.000 5.419 3.330
2.558 3.636 7.735
0.000 3.000 1.075
0.000 3.000 5.585
2.558 3.636 12.245
0.000 0.831 8.119
0.000 0.831 11.861
2.558 5.805 5.201
0.000 3.571 9.990
2.558 5.805 1.459
2.558 3.065 3.330


Record 16
CdIn5Bi GGA-PBE relaxed; space group = P4/mmm; energy of formation from the pure elements = 0.4 eV per formula unit; calculated total energy = -2.58 eV/atom; volume = 29.6 Å³/atom; total magnetization = 0.00 μB per cell
1.0
-3.243 3.376 -0.876
-2.182 -2.897 -3.087
-5.228 -3.269 6.761
In Bi Cd
5 1 1
Cartesian
-3.070 0.782 1.436
-2.540 -2.354 0.330
-4.870 -3.811 3.344
-2.712 0.240 -1.981
-5.401 -0.675 4.450
0.000 0.000 0.000
-2.614 -1.634 3.381


Record 17
Cd3In4Bi2 GGA-PBE relaxed; space group = P-1; energy of formation from the pure elements = 0.4 eV per formula unit; calculated total energy = -2.34 eV/atom; volume = 27.6 Å³/atom; total magnetization = 0.00 μB per cell
1.0
-4.203 -1.320 -1.220
-0.366 -6.487 0.006
-1.268 -4.236 8.976
Bi In Cd
2 4 3
Cartesian
-2.487 -5.910 6.443
-3.349 -6.133 1.318
-5.013 -4.211 4.766
-1.665 -3.012 0.556
-4.172 -9.032 7.205
-0.823 -7.833 2.995
0.000 0.000 0.000
-2.120 -4.316 3.580
-3.717 -7.727 4.181


Record 18
Cd2InBi GGA-PBE relaxed; space group = Immm; energy of formation from the pure elements = 0.4 eV per formula unit; calculated total energy = -2.02 eV/atom; excess energy over the best structure of this formula in the dataset = 39 meV/atom; volume = 28.6 Å³/atom; total magnetization = 0.00 μB per cell
1.0
5.836 -1.923 -3.243
-1.854 5.858 3.243
-4.157 0.224 5.563
In Cd Bi
1 2 1
Cartesian
0.000 0.000 0.000
-4.524 4.577 6.627
-1.487 1.505 2.179
-3.006 3.041 4.403


Record 19
Cd2In8Bi GGA-PBE relaxed; space group = C2/m; energy of formation from the pure elements = 1.2 eV per formula unit; calculated total energy = -2.41 eV/atom; excess energy over the best structure of this formula in the dataset = 62 meV/atom; volume = 30.3 Å³/atom; total magnetization = 0.00 μB per cell
1.0
-0.969 0.100 -5.425
-4.678 -6.602 -1.052
-7.849 2.205 -0.324
In Bi Cd
8 1 2
Cartesian
-5.241 -1.718 -2.044
-6.771 -4.484 -2.218
-4.024 -1.019 -5.202
-8.184 -0.560 -1.894
-8.256 -2.579 -4.758
-5.313 -3.737 -4.907
-9.473 -3.278 -1.600
-6.726 0.187 -4.583
0.000 0.000 0.000
-2.341 -0.622 -2.679
-11.155 -3.676 -4.123


Record 20
Cd2InBi GGA-PBE relaxed; space group = R3m; energy of formation from the pure elements = 0.3 eV per formula unit; calculated total energy = -2.03 eV/atom; excess energy over the best structure of this formula in the dataset = 35 meV/atom; volume = 29.3 Å³/atom; total magnetization = 0.00 μB per cell
1.0
4.626 0.000 0.000
2.313 4.006 0.000
2.313 1.335 6.317
Cd In Bi
2 1 1
Cartesian
2.313 1.335 1.535
2.313 1.335 4.852
6.939 4.006 6.256
4.626 2.671 3.150